NaHf3Ni | PBE-GGA | optimized geometry

```
5
Lattice="4.9137 0.0000 0.0000 0.0000 4.9137 0.0000 0.0000 0.0000 4.9137" Properties=species:S:1:pos:R:3 pbc="T T T"
Na 0.0000 0.0000 0.0000
Hf 0.0000 2.4568 2.4568
Hf 2.4568 0.0000 2.4568
Hf 2.4568 2.4568 0.0000
Ni 2.4568 2.4568 2.4568
```

Values from the calculation:
**Total DFT energy (no corrections)**: -34.513 eV per formula unit
**Formation enthalpy at 0 K**: 490 meV per atom
**Magnetic moment**: 0.00 μB/f.u.
**Offset from the most stable computed form**: 0.000 eV/atom

---

Na3HfNi | PBE-GGA | optimized geometry

```
5
Lattice="5.1226 0.0000 0.0000 0.0000 5.1226 0.0000 0.0000 0.0000 5.1226" Properties=species:S:1:pos:R:3 pbc="T T T"
Na 0.0000 0.0000 2.5613
Na 0.0000 2.5613 0.0000
Na 2.5613 0.0000 0.0000
Hf 2.5613 2.5613 2.5613
Ni 0.0000 0.0000 0.0000
```

Values from the calculation:
**Total DFT energy (no corrections)**: -13.660 eV per formula unit
**Formation enthalpy at 0 K**: 1206 meV per atom
**Magnetic moment**: 1.10 μB/f.u.
**Offset from the most stable computed form**: 0.000 eV/atom

---

NaHf2Ni2 | PBE-GGA | optimized geometry

```
10
Lattice="7.7437 0.0000 0.0000 0.0000 7.7437 0.0000 0.0000 0.0000 2.9713" Properties=species:S:1:pos:R:3 pbc="T T T"
Na 0.0000 0.0000 0.0000
Na 3.8718 3.8718 0.0000
Hf 1.1508 2.7210 0.0000
Hf 2.7210 6.5928 0.0000
Hf 5.0227 1.1508 0.0000
Hf 6.5928 5.0227 0.0000
Ni 1.0538 4.9257 1.4857
Ni 2.8180 1.0538 1.4857
Ni 4.9257 6.6898 1.4857
Ni 6.6898 2.8180 1.4857
```

Values from the calculation:
**Total DFT energy (no corrections)**: -32.843 eV per formula unit
**Formation enthalpy at 0 K**: -11 meV per atom
**Magnetic moment**: 0.00 μB/f.u.
**Offset from the most stable computed form**: 0.090 eV/atom

---

Na3HfNi | PBE-GGA | optimized geometry

```
5
Lattice="6.0734 0.0000 0.0000 0.0000 6.0734 0.0000 0.0000 0.0000 6.0734" Properties=species:S:1:pos:R:3 pbc="T T T"
Na 0.0000 0.0000 3.0367
Na 0.0000 3.0367 0.0000
Na 3.0367 0.0000 0.0000
Hf 0.0000 0.0000 0.0000
Ni 3.0367 3.0367 3.0367
```

Values from the calculation:
**Total DFT energy (no corrections)**: -10.206 eV per formula unit
**Formation enthalpy at 0 K**: 1897 meV per atom
**Magnetic moment**: 4.33 μB/f.u.
**Offset from the most stable computed form**: 0.691 eV/atom